# Pr8TcPt2

A relaxed Pr8TcPt2 crystal (GGA-PBE, Alexandria via LeMat-Bulk).

Values from the calculation:
* calculated volume: 335 Å³/cell
* formation enthalpy at 0 K: -299.0 meV/atom

Cell lengths 7.8719, 7.8719, 6.3012 Å; angles 101.05, 101.05, 113.62 degrees
Last column: nearest neighbours and their distance in Å.
Fractional positions:
Pr 0.0000 0.0000 0.0000  1 Tc 2.94, 2 Pt 3.16
Pr 0.0212 0.2756 0.5880  2 Pt 2.91-2.94
Pr 0.1548 0.5681 0.1840  1 Tc 2.85
Pr 0.2756 0.0212 0.5880  2 Pt 2.91-2.94
Pr 0.4425 0.6954 0.8063  2 Pt 2.95-2.99, 1 Tc 3.25
Pr 0.5681 0.1548 0.1840  1 Tc 2.85
Pr 0.6954 0.4425 0.8063  2 Pt 2.95-2.99, 1 Tc 3.25
Pr 0.7136 0.7136 0.3630  1 Tc 3.06, 2 Pt 3.16
Tc 0.3515 0.3515 0.0466  4 Pr 2.85-3.06
Pt 0.0439 0.6663 0.6829  6 Pr 2.91-3.16
Pt 0.6663 0.0439 0.6829  6 Pr 2.91-3.16

=====

# CdIrOs

A relaxed CdIrOs crystal (GGA-PBE, Alexandria via LeMat-Bulk).

Values from the calculation:
* calculated volume: 56 Å³/cell
* formation enthalpy at 0 K: 733.7 meV/atom

Cell lengths 4.3014, 4.3014, 4.3014 Å; angles 60.00, 60.00, 60.00 degrees
Last column: nearest neighbours and their distance in Å.
Fractional positions:
Cd 0.0000 0.0000 0.0000  4 Ir 2.63
Ir 0.2500 0.2500 0.2500  4 Cd 2.63, 4 Os 2.63
Os 0.5000 0.5000 0.5000  4 Ir 2.63

=====

# SrLiAgAu

A relaxed SrLiAgAu crystal (GGA-PBE, Alexandria via LeMat-Bulk).

Values from the calculation:
* calculated volume: 98 Å³/cell
* formation enthalpy at 0 K: -475.7 meV/atom

Cell lengths 5.9846, 5.9846, 5.9846 Å; angles 45.23, 45.23, 45.23 degrees
Last column: nearest neighbours and their distance in Å.
Fractional positions:
Sr 0.0000 0.0000 0.0000  4 Ag 3.30-3.36, 4 Au 3.33-3.35
Li 0.4935 0.4935 0.4935  3 Au 2.71, 3 Ag 2.75
Ag 0.2050 0.2050 0.2050  3 Li 2.75, 3 Au 2.94
Au 0.7932 0.7932 0.7932  3 Li 2.71, 3 Ag 2.94

=====

# Ho12Tm5Mg2

A relaxed Ho12Tm5Mg2 crystal (GGA-PBE, Alexandria via LeMat-Bulk).

Values from the calculation:
* calculated volume: 583 Å³/cell
* formation enthalpy at 0 K: 104.8 meV/atom

Cell lengths 9.0470, 9.0470, 8.2564 Å; angles 90.08, 90.08, 59.67 degrees
Last column: nearest neighbours and their distance in Å.
Fractional positions:
Ho 0.0571 0.0571 0.3339  7 Ho 3.28-3.41, 2 Mg 3.29, 2 Tm 3.32-3.50
Ho 0.0711 0.6803 0.3354  4 Tm 3.33-3.63, 6 Ho 3.35-3.66, 1 Mg 3.40
Ho 0.1588 0.5308 0.7552  5 Ho 3.30-3.66, 1 Mg 3.40, 5 Tm 3.48-3.63
Ho 0.3197 0.9289 0.6646  4 Tm 3.33-3.63, 6 Ho 3.35-3.66, 1 Mg 3.40
Ho 0.4084 0.4084 0.1041  5 Ho 3.35-3.48, 2 Mg 3.38, 3 Tm 3.40-3.57
Ho 0.4692 0.8412 0.2448  5 Ho 3.30-3.66, 1 Mg 3.40, 5 Tm 3.48-3.63
Ho 0.5308 0.1588 0.7552  5 Ho 3.30-3.66, 1 Mg 3.40, 5 Tm 3.48-3.63
Ho 0.5916 0.5916 0.8959  5 Ho 3.35-3.48, 2 Mg 3.38, 3 Tm 3.40-3.57
Ho 0.6803 0.0711 0.3354  4 Tm 3.33-3.63, 6 Ho 3.35-3.66, 1 Mg 3.40
Ho 0.8412 0.4692 0.2448  5 Ho 3.30-3.66, 1 Mg 3.40, 5 Tm 3.48-3.63
Ho 0.9289 0.3197 0.6646  4 Tm 3.33-3.63, 6 Ho 3.35-3.66, 1 Mg 3.40
Ho 0.9429 0.9429 0.6661  7 Ho 3.28-3.41, 2 Mg 3.29, 2 Tm 3.32-3.50
Tm 0.1977 0.1977 0.0055  8 Ho 3.40-3.52, 2 Mg 3.48, 1 Tm 3.57
Tm 0.2639 0.2639 0.4197  10 Ho 3.32-3.60, 1 Tm 3.57
Tm 0.5000 0.5000 0.5000  10 Ho 3.57-3.63, 2 Tm 3.76
Tm 0.7361 0.7361 0.5803  10 Ho 3.32-3.60, 1 Tm 3.57
Tm 0.8023 0.8023 0.9945  8 Ho 3.40-3.52, 2 Mg 3.48, 1 Tm 3.57
Mg 0.1740 0.8260 0.0000  1 Mg 3.13, 8 Ho 3.29-3.40, 2 Tm 3.48
Mg 0.8260 0.1740 0.0000  1 Mg 3.13, 8 Ho 3.29-3.40, 2 Tm 3.48

=====

# Ca2AgMo

A relaxed Ca2AgMo crystal (GGA-PBE, Alexandria via LeMat-Bulk).

Values from the calculation:
* calculated volume: 93 Å³/cell
* formation enthalpy at 0 K: 658.7 meV/atom

Cell lengths 5.2375, 5.2375, 6.1470 Å; angles 98.59, 98.59, 33.74 degrees
Last column: nearest neighbours and their distance in Å.
Fractional positions:
Ca 0.2494 0.2494 0.2406  4 Ca 3.04-3.33, 3 Mo 3.10-3.11, 3 Ag 3.15-3.17
Ca 0.7506 0.7506 0.7594  4 Ca 3.04-3.33, 3 Mo 3.10-3.11, 3 Ag 3.15-3.17
Ag 0.0000 0.0000 0.5000  2 Ag 3.04, 6 Ca 3.15-3.17
Mo 0.5000 0.5000 0.0000  2 Mo 3.04, 6 Ca 3.10-3.11

=====

# ScSe2SI

A relaxed ScSe2SI crystal (GGA-PBE, Alexandria via LeMat-Bulk).

Values from the calculation:
* ΔE_f (raw): 1.3 meV per atom
* calculated volume: 155 Å³/cell

Cell lengths 5.1177, 5.1177, 5.9215 Å; angles 90.00, 90.00, 90.00 degrees
Last column: nearest neighbours and their distance in Å.
Fractional positions:
Sc 0.0000 0.0000 0.0000  4 Se 2.56
Se 0.0000 0.5000 0.0000  2 Sc 2.56
Se 0.5000 0.0000 0.0000  2 Sc 2.56
S 0.5000 0.5000 0.5000  4 I 3.62, 8 Se 3.91
I 0.0000 0.0000 0.5000  2 Sc 2.96

=====

Number 1: M_tot 0.0 μB per cell, density 8.0 Mg/m³. Number 2: M_tot 0.0 μB per cell, density 14.6 Mg/m³. Number 3: M_tot 0.0 μB per cell, density 6.7 Mg/m³. Number 4: M_tot 0.0 μB per cell, density 8.2 Mg/m³. Number 5: M_tot 0.0 μB per cell, density 5.1 Mg/m³. Number 6: M_tot 2.9 μB per cell, density 3.9 Mg/m³.